No. 1
{
  "formula": "ThCd6",
  "functional": "PBE",
  "state": "relaxed",
  "lattice": [[6.558, 0.000, 0.000], [-2.186, 6.183, 0.000], [-2.186, -3.091, 5.355]],
  "species": ["Th", "Cd", "Cd", "Cd", "Cd", "Cd", "Cd"],
  "frac_coords": [[0.000, 0.000, 0.000], [0.250, 0.750, 0.500], [0.500, 0.750, 0.250], [0.250, 0.500, 0.750], [0.750, 0.250, 0.500], [0.500, 0.250, 0.750], [0.750, 0.500, 0.250]],
  "e_tot_ry_per_atom": -0.094,
  "space_group": "Im-3m (229)",
  "e_above_lowest_polymorph_ev_per_atom": 0.657,
  "dos_at_fermi_per_ev_cell": 4.78,
  "ef_mev_per_atom": 571
}

No. 2
{
  "formula": "Th5Cd",
  "functional": "PBE",
  "state": "relaxed",
  "lattice": [[-0.550, -0.023, 3.477], [0.964, -2.957, -1.649], [16.792, 3.980, 2.684]],
  "species": ["Th", "Th", "Th", "Th", "Th", "Cd"],
  "frac_coords": [[0.667, 0.333, 0.841], [0.000, 0.000, 0.670], [0.667, 0.333, 0.500], [0.000, 0.000, 0.330], [0.667, 0.333, 0.159], [0.000, 0.000, 0.000]],
  "e_tot_ry_per_atom": -0.463,
  "space_group": "P-6m2 (187)",
  "e_above_lowest_polymorph_ev_per_atom": 0.000,
  "dos_at_fermi_per_ev_cell": 7.99,
  "ef_mev_per_atom": 35
}

No. 3
{
  "formula": "Th3Cd",
  "functional": "PBE",
  "state": "relaxed",
  "lattice": [[3.582, 0.000, 0.000], [0.000, 4.612, 0.000], [0.000, 0.000, 7.275]],
  "species": ["Th", "Th", "Th", "Cd"],
  "frac_coords": [[0.000, 0.000, 0.500], [0.500, 0.500, 0.238], [0.500, 0.500, 0.762], [0.000, 0.000, 0.000]],
  "e_tot_ry_per_atom": -0.427,
  "space_group": "Pmmm (47)",
  "e_above_lowest_polymorph_ev_per_atom": 0.000,
  "dos_at_fermi_per_ev_cell": 5.24,
  "ef_mev_per_atom": -20
}

No. 4
{
  "formula": "Th4Cd",
  "functional": "PBE",
  "state": "relaxed",
  "lattice": [[5.749, 0.000, 0.000], [0.000, 5.749, 0.000], [0.000, 0.000, 5.749]],
  "species": ["Th", "Th", "Th", "Th", "Cd"],
  "frac_coords": [[0.000, 0.000, 0.000], [0.500, 0.000, 0.500], [0.000, 0.500, 0.500], [0.500, 0.500, 0.000], [0.500, 0.500, 0.500]],
  "e_tot_ry_per_atom": -0.387,
  "space_group": "Pm-3m (221)",
  "dos_at_fermi_per_ev_cell": 10.97,
  "ef_mev_per_atom": 854
}

No. 5
{
  "formula": "Th2Cd3",
  "functional": "PBE",
  "state": "relaxed",
  "lattice": [[-0.402, -1.058, 3.242], [-4.446, -2.039, -1.216], [7.221, -12.720, -5.074]],
  "species": ["Th", "Th", "Th", "Th", "Cd", "Cd", "Cd", "Cd", "Cd", "Cd"],
  "frac_coords": [[0.282, 0.750, 0.564], [0.718, 0.250, 0.436], [0.572, 0.750, 0.145], [0.428, 0.250, 0.855], [0.171, 0.750, 0.342], [0.829, 0.250, 0.658], [0.879, 0.750, 0.759], [0.121, 0.250, 0.241], [0.024, 0.250, 0.048], [0.976, 0.750, 0.952]],
  "e_tot_ry_per_atom": -0.269,
  "space_group": "Cmcm (63)",
  "e_above_lowest_polymorph_ev_per_atom": 0.000,
  "dos_at_fermi_per_ev_cell": 8.11,
  "ef_mev_per_atom": -138
}

No. 6
{
  "formula": "ThCd3",
  "functional": "PBE",
  "state": "relaxed",
  "lattice": [[-2.872, 1.040, 1.361], [1.061, -2.533, 4.174], [2.886, 4.978, 2.287]],
  "species": ["Th", "Cd", "Cd", "Cd"],
  "frac_coords": [[0.000, 0.500, 0.329], [0.000, 0.000, 0.975], [0.500, 0.000, 0.534], [0.500, 0.500, 0.829]],
  "e_tot_ry_per_atom": -0.188,
  "space_group": "Pmm2 (25)",
  "dos_at_fermi_per_ev_cell": 3.02,
  "ef_mev_per_atom": -15
}